The following is a DFT calculation (PBE) of an optimized crystal structure of PrSm2Dy3Se6.

Geometry as CIF:
```
data_PrSm2Dy3Se6
_chemical_formula_sum 'Pr1 Sm2 Dy3 Se6'
_space_group_name_H-M_alt 'P 1'
_space_group_IT_number 1
_cell_length_a 7.1388
_cell_length_b 7.1388
_cell_length_c 7.2407
_cell_angle_alpha 99.43
_cell_angle_beta 99.43
_cell_angle_gamma 120.29
loop_
_space_group_symop_operation_xyz
'x,y,z'
loop_
_atom_site_label
_atom_site_type_symbol
_atom_site_fract_x
_atom_site_fract_y
_atom_site_fract_z
Pr1 Pr 0.0000 0.0000 0.0000
Sm1 Sm 0.3338 0.6662 0.0000
Sm2 Sm 0.6662 0.3338 0.0000
Dy1 Dy 0.1635 0.8365 0.5000
Dy2 Dy 0.8365 0.1635 0.5000
Dy3 Dy 0.5000 0.5000 0.5000
Se1 Se 0.9124 0.5740 0.7374
Se2 Se 0.7486 0.7486 0.2602
Se3 Se 0.0876 0.4260 0.2626
Se4 Se 0.5740 0.9124 0.7374
Se5 Se 0.2514 0.2514 0.7398
Se6 Se 0.4260 0.0876 0.2626
```

Values from the calculation:
formation energy (no corrections): -1.792 eV per atom
final energy: -70.43 eV/f.u.



The following is a DFT calculation (PBE) of an optimized crystal structure of Ba2SrBr.

Geometry as CIF:
```
data_Ba2SrBr
_chemical_formula_sum 'Ba2 Sr1 Br1'
_space_group_name_H-M_alt 'P 1'
_space_group_IT_number 1
_cell_length_a 6.6707
_cell_length_b 6.6707
_cell_length_c 6.6707
_cell_angle_alpha 60.00
_cell_angle_beta 60.00
_cell_angle_gamma 60.00
loop_
_space_group_symop_operation_xyz
'x,y,z'
loop_
_atom_site_label
_atom_site_type_symbol
_atom_site_fract_x
_atom_site_fract_y
_atom_site_fract_z
Sr1 Sr 0.7500 0.7500 0.7500
Ba1 Ba 0.0000 0.0000 0.0000
Ba2 Ba 0.2500 0.2500 0.2500
Br1 Br 0.5000 0.5000 0.5000
```

Values from the calculation:
formation energy (no corrections): -0.212 eV per atom
final energy: -8.05 eV/f.u.
energy above the most stable polymorph in this dataset: 538 meV/atom



The following is a DFT calculation (PBE) of an optimized crystal structure of Cs3La2PrS6.

Geometry as CIF:
```
data_Cs3La2PrS6
_chemical_formula_sum 'Cs3 La2 Pr1 S6'
_space_group_name_H-M_alt 'P 1'
_space_group_IT_number 1
_cell_length_a 7.4982
_cell_length_b 7.4982
_cell_length_c 8.4634
_cell_angle_alpha 98.49
_cell_angle_beta 98.49
_cell_angle_gamma 120.00
loop_
_space_group_symop_operation_xyz
'x,y,z'
loop_
_atom_site_label
_atom_site_type_symbol
_atom_site_fract_x
_atom_site_fract_y
_atom_site_fract_z
Cs1 Cs 0.1666 0.8334 0.5000
Cs2 Cs 0.8334 0.1666 0.5000
Cs3 Cs 0.5000 0.5000 0.5000
La1 La 0.3333 0.6667 0.0000
La2 La 0.6667 0.3333 0.0000
Pr1 Pr 0.0000 0.0000 0.0000
S1 S 0.9377 0.6064 0.8132
S2 S 0.7309 0.7309 0.1868
S3 S 0.0623 0.3936 0.1868
S4 S 0.6064 0.9377 0.8132
S5 S 0.2691 0.2691 0.8132
S6 S 0.3936 0.0623 0.1868
```

Values from the calculation:
formation energy (no corrections): -1.860 eV per atom
final energy: -64.28 eV/f.u.



The following is a DFT calculation (PBE) of an optimized crystal structure of PrMg11Ir.

Geometry as CIF:
```
data_PrMg11Ir
_chemical_formula_sum 'Pr1 Mg11 Ir1'
_space_group_name_H-M_alt 'P 1'
_space_group_IT_number 1
_cell_length_a 5.6523
_cell_length_b 7.6962
_cell_length_c 7.7091
_cell_angle_alpha 82.49
_cell_angle_beta 68.49
_cell_angle_gamma 69.11
loop_
_space_group_symop_operation_xyz
'x,y,z'
loop_
_atom_site_label
_atom_site_type_symbol
_atom_site_fract_x
_atom_site_fract_y
_atom_site_fract_z
Pr1 Pr 0.0000 0.0000 0.0000
Mg1 Mg 0.3023 0.2230 0.2038
Mg2 Mg 0.6977 0.7770 0.7962
Mg3 Mg 0.4939 0.7770 0.2038
Mg4 Mg 0.5061 0.2230 0.7962
Mg5 Mg 0.3650 0.6365 0.6686
Mg6 Mg 0.6350 0.3635 0.3314
Mg7 Mg 0.9664 0.3635 0.6686
Mg8 Mg 0.0336 0.6365 0.3314
Mg9 Mg 0.0000 0.5000 0.0000
Mg10 Mg 0.5000 0.0000 0.5000
Mg11 Mg 0.0000 0.0000 0.5000
Ir1 Ir 0.5000 0.5000 0.0000
```

Values from the calculation:
ΔH_f (0 K): -1.8 eV per formula unit
final energy: -32.95 eV/f.u.



The following is a DFT calculation (PBE) of an optimized crystal structure of La2Zn2Ag3.

Geometry as CIF:
```
data_La2Zn2Ag3
_chemical_formula_sum 'La4 Zn4 Ag6'
_space_group_name_H-M_alt 'P 1'
_space_group_IT_number 1
_cell_length_a 4.3459
_cell_length_b 7.5476
_cell_length_c 10.2883
_cell_angle_alpha 90.00
_cell_angle_beta 102.19
_cell_angle_gamma 90.00
loop_
_space_group_symop_operation_xyz
'x,y,z'
loop_
_atom_site_label
_atom_site_type_symbol
_atom_site_fract_x
_atom_site_fract_y
_atom_site_fract_z
La1 La 0.1628 0.2500 0.3257
La2 La 0.8372 0.7500 0.6743
La3 La 0.9406 0.2500 0.8812
La4 La 0.0594 0.7500 0.1188
Zn1 Zn 0.6887 0.9378 0.3775
Zn2 Zn 0.3113 0.0622 0.6225
Zn3 Zn 0.3113 0.4378 0.6225
Zn4 Zn 0.6887 0.5622 0.3775
Ag1 Ag 0.2233 0.7500 0.4466
Ag2 Ag 0.7767 0.2500 0.5534
Ag3 Ag 0.5634 0.4344 0.1268
Ag4 Ag 0.4366 0.5656 0.8732
Ag5 Ag 0.4366 0.9344 0.8732
Ag6 Ag 0.5634 0.0656 0.1268
```

Values from the calculation:
ΔH_f (0 K): -1.8 eV per formula unit
final energy: -22.80 eV/f.u.



The following is a DFT calculation (PBE) of an optimized crystal structure of BaF.

Geometry as CIF:
```
data_BaF
_chemical_formula_sum 'Ba4 F4'
_space_group_name_H-M_alt 'P 1'
_space_group_IT_number 1
_cell_length_a 7.6768
_cell_length_b 7.6768
_cell_length_c 4.3828
_cell_angle_alpha 90.00
_cell_angle_beta 90.00
_cell_angle_gamma 90.00
loop_
_space_group_symop_operation_xyz
'x,y,z'
loop_
_atom_site_label
_atom_site_type_symbol
_atom_site_fract_x
_atom_site_fract_y
_atom_site_fract_z
Ba1 Ba 0.3003 0.3003 0.0000
Ba2 Ba 0.8003 0.1997 0.5000
Ba3 Ba 0.1997 0.8003 0.5000
Ba4 Ba 0.6997 0.6997 0.0000
F1 F 0.3573 0.6427 0.0000
F2 F 0.8573 0.8573 0.5000
F3 F 0.1427 0.1427 0.5000
F4 F 0.6427 0.3573 0.0000
```

Values from the calculation:
formation energy (no corrections): -2.700 eV per atom
final energy: -9.19 eV/f.u.



The following is a DFT calculation (PBE) of an optimized crystal structure of Pa4Si6Mo7.

Geometry as CIF:
```
data_Pa4Si6Mo7
_chemical_formula_sum 'Pa4 Si6 Mo7'
_space_group_name_H-M_alt 'P 1'
_space_group_IT_number 1
_cell_length_a 7.3143
_cell_length_b 7.3143
_cell_length_c 7.3143
_cell_angle_alpha 109.47
_cell_angle_beta 109.47
_cell_angle_gamma 109.47
loop_
_space_group_symop_operation_xyz
'x,y,z'
loop_
_atom_site_label
_atom_site_type_symbol
_atom_site_fract_x
_atom_site_fract_y
_atom_site_fract_z
Pa1 Pa 0.5000 0.0000 0.0000
Pa2 Pa 0.5000 0.5000 0.5000
Pa3 Pa 0.0000 0.5000 0.0000
Pa4 Pa 0.0000 0.0000 0.5000
Si1 Si 0.6915 0.0000 0.6915
Si2 Si 0.6915 0.6915 0.0000
Si3 Si 0.0000 0.3085 0.3085
Si4 Si 0.3085 0.0000 0.3085
Si5 Si 0.3085 0.3085 0.0000
Si6 Si 0.0000 0.6915 0.6915
Mo1 Mo 0.7500 0.5000 0.2500
Mo2 Mo 0.2500 0.7500 0.5000
Mo3 Mo 0.5000 0.7500 0.2500
Mo4 Mo 0.7500 0.2500 0.5000
Mo5 Mo 0.2500 0.5000 0.7500
Mo6 Mo 0.5000 0.2500 0.7500
Mo7 Mo 0.0000 0.0000 0.0000
```

Values from the calculation:
formation energy (no corrections): -0.395 eV per atom
final energy: -153.05 eV/f.u.



The following is a DFT calculation (PBE) of an optimized crystal structure of Tm2Al3Cu2.

Geometry as CIF:
```
data_Tm2Al3Cu2
_chemical_formula_sum 'Tm2 Al3 Cu2'
_space_group_name_H-M_alt 'P 1'
_space_group_IT_number 1
_cell_length_a 4.1299
_cell_length_b 5.4844
_cell_length_c 6.7741
_cell_angle_alpha 113.83
_cell_angle_beta 90.00
_cell_angle_gamma 112.12
loop_
_space_group_symop_operation_xyz
'x,y,z'
loop_
_atom_site_label
_atom_site_type_symbol
_atom_site_fract_x
_atom_site_fract_y
_atom_site_fract_z
Tm1 Tm 0.8542 0.7083 0.2174
Tm2 Tm 0.1458 0.2917 0.7826
Al1 Al 0.5000 0.0000 0.0000
Al2 Al 0.6197 0.2395 0.4381
Al3 Al 0.3803 0.7605 0.5619
Cu1 Cu 0.8580 0.7161 0.7770
Cu2 Cu 0.1420 0.2839 0.2230
```

Values from the calculation:
ΔH_f (0 K): -3.0 eV per formula unit
final energy: -31.39 eV/f.u.



The following is a DFT calculation (PBE) of an optimized crystal structure of Y2Er5Th2.

Geometry as CIF:
```
data_Y2Er5Th2
_chemical_formula_sum 'Y2 Er5 Th2'
_space_group_name_H-M_alt 'P 1'
_space_group_IT_number 1
_cell_length_a 3.4600
_cell_length_b 7.9704
_cell_length_c 12.8460
_cell_angle_alpha 119.63
_cell_angle_beta 97.74
_cell_angle_gamma 90.00
loop_
_space_group_symop_operation_xyz
'x,y,z'
loop_
_atom_site_label
_atom_site_type_symbol
_atom_site_fract_x
_atom_site_fract_y
_atom_site_fract_z
Y1 Y 0.8231 0.7951 0.6461
Y2 Y 0.1769 0.2049 0.3539
Er1 Er 0.6924 0.8406 0.3849
Er2 Er 0.3076 0.1594 0.6151
Er3 Er 0.9091 0.5469 0.8183
Er4 Er 0.0909 0.4531 0.1817
Er5 Er 0.0000 0.0000 0.0000
Th1 Th 0.5541 0.7593 0.1083
Th2 Th 0.4459 0.2407 0.8917
```

Values from the calculation:
ΔH_f (0 K): 2.5 eV per formula unit
final energy: -48.07 eV/f.u.
energy above the most stable polymorph in this dataset: 42 meV/atom



The following is a DFT calculation (PBE) of an optimized crystal structure of PrHo3Ni8.

Geometry as CIF:
```
data_PrHo3Ni8
_chemical_formula_sum 'Pr1 Ho3 Ni8'
_space_group_name_H-M_alt 'P 1'
_space_group_IT_number 1
_cell_length_a 5.0824
_cell_length_b 5.0824
_cell_length_c 8.8305
_cell_angle_alpha 73.28
_cell_angle_beta 73.28
_cell_angle_gamma 60.00
loop_
_space_group_symop_operation_xyz
'x,y,z'
loop_
_atom_site_label
_atom_site_type_symbol
_atom_site_fract_x
_atom_site_fract_y
_atom_site_fract_z
Pr1 Pr 0.8752 0.8752 0.3744
Ho1 Ho 0.3748 0.3748 0.8757
Ho2 Ho 0.0007 0.0007 0.9978
Ho3 Ho 0.4989 0.4989 0.5033
Ni1 Ni 0.9397 0.4389 0.1826
Ni2 Ni 0.4327 0.9378 0.6917
Ni3 Ni 0.4389 0.4389 0.1826
Ni4 Ni 0.9378 0.9378 0.6917
Ni5 Ni 0.1870 0.1870 0.4389
Ni6 Ni 0.6876 0.6876 0.9372
Ni7 Ni 0.4389 0.9397 0.1826
Ni8 Ni 0.9378 0.4327 0.6917
```

Values from the calculation:
ΔH_f (0 K): -5.0 eV per formula unit
final energy: -69.75 eV/f.u.
energy above the most stable polymorph in this dataset: 0 meV/atom



The following is a DFT calculation (PBE) of an optimized crystal structure of Ca3YSc.

Geometry as CIF:
```
data_Ca3YSc
_chemical_formula_sum 'Ca3 Y1 Sc1'
_space_group_name_H-M_alt 'P 1'
_space_group_IT_number 1
_cell_length_a 5.7638
_cell_length_b 5.7638
_cell_length_c 5.7638
_cell_angle_alpha 90.00
_cell_angle_beta 90.00
_cell_angle_gamma 90.00
loop_
_space_group_symop_operation_xyz
'x,y,z'
loop_
_atom_site_label
_atom_site_type_symbol
_atom_site_fract_x
_atom_site_fract_y
_atom_site_fract_z
Y1 Y 0.0000 0.0000 0.0000
Sc1 Sc 0.5000 0.5000 0.5000
Ca1 Ca 0.0000 0.5000 0.0000
Ca2 Ca 0.0000 0.0000 0.5000
Ca3 Ca 0.5000 0.0000 0.0000
```

Values from the calculation:
ΔH_f (0 K): 4.9 eV per formula unit
final energy: -13.94 eV/f.u.
energy above the most stable polymorph in this dataset: 240 meV/atom



The following is a DFT calculation (PBE) of an optimized crystal structure of BaLi2PSe.

Geometry as CIF:
```
data_BaLi2PSe
_chemical_formula_sum 'Ba1 Li2 P1 Se1'
_space_group_name_H-M_alt 'P 1'
_space_group_IT_number 1
_cell_length_a 4.7596
_cell_length_b 6.1999
_cell_length_c 4.7596
_cell_angle_alpha 90.00
_cell_angle_beta 90.00
_cell_angle_gamma 90.00
loop_
_space_group_symop_operation_xyz
'x,y,z'
loop_
_atom_site_label
_atom_site_type_symbol
_atom_site_fract_x
_atom_site_fract_y
_atom_site_fract_z
P1 P 0.0000 0.0000 0.0000
Ba1 Ba 0.0000 0.5000 0.0000
Se1 Se 0.5000 0.5000 0.5000
Li1 Li 0.0000 0.0000 0.5000
Li2 Li 0.5000 0.0000 0.0000
```

Values from the calculation:
formation energy (no corrections): -0.818 eV per atom
final energy: -18.74 eV/f.u.